1.
TeH3Rh | PBE | relaxed

a b c (Å): 3.884 3.884 3.884
angles (deg): 90.00 90.00 90.00
Atoms (fractional coordinates):
Te 0.000 0.000 0.000
H 0.000 0.000 0.500
H 0.000 0.500 0.000
H 0.500 0.000 0.000
Rh 0.500 0.500 0.500

Space-group type: Pm-3m, No. 221
Offset from the most stable computed form: 603 meV/atom
Magnetization: 0.15 μB per cell

2.
TeH2Rh | PBE | relaxed

a b c (Å): 6.449 6.449 6.449
angles (deg): 142.72 142.72 53.75
Atoms (fractional coordinates):
Te 0.375 0.625 0.750
Te 0.625 0.375 0.250
H 0.000 0.000 0.000
H 0.000 0.000 0.500
H 0.000 0.500 0.000
H 0.500 0.000 0.500
Rh 0.125 0.875 0.250
Rh 0.875 0.125 0.750

Space-group type: I4_1/amd, No. 141
Offset from the most stable computed form: 232 meV/atom
Magnetization: 0.00 μB per cell

3.
Th2TeHRh6 | PBE | relaxed

a b c (Å): 4.714 4.714 8.286
angles (deg): 90.00 90.00 90.00
Atoms (fractional coordinates):
Th 0.000 0.000 0.231
Th 0.000 0.000 0.769
Te 0.500 0.500 0.500
H 0.500 0.500 0.000
Rh 0.000 0.500 0.000
Rh 0.000 0.500 0.500
Rh 0.500 0.000 0.000
Rh 0.500 0.000 0.500
Rh 0.500 0.500 0.199
Rh 0.500 0.500 0.801

Space-group type: P4/mmm, No. 123
E: -68.69 eV for the cell shown
Magnetization: 0.00 μB per cell

4.
TlTeHRh2 | PBE | relaxed

a b c (Å): 4.867 4.867 6.498
angles (deg): 90.00 90.00 90.00
Atoms (fractional coordinates):
Tl 0.000 0.000 0.000
Te 0.000 0.000 0.500
H 0.500 0.500 0.000
Rh 0.000 0.500 0.500
Rh 0.500 0.000 0.500

Space-group type: P4/mmm, No. 123
E: -17.95 eV for the cell shown
Magnetization: 1.06 μB per cell

5.
ZrTe2HRh | PBE | relaxed

a b c (Å): 5.274 5.274 3.500
angles (deg): 90.00 90.00 90.00
Atoms (fractional coordinates):
Zr 0.000 0.000 0.000
Te 0.000 0.500 0.500
Te 0.500 0.000 0.500
H 0.500 0.500 0.000
Rh 0.500 0.500 0.500

Space-group type: P4/mmm, No. 123
E: -26.43 eV for the cell shown
Magnetization: 0.00 μB per cell

6.
ThHRh3 | PBE | relaxed

a b c (Å): 4.170 4.170 4.170
angles (deg): 90.00 90.00 90.00
Atoms (fractional coordinates):
Th 0.000 0.000 0.000
H 0.500 0.500 0.500
Rh 0.000 0.500 0.500
Rh 0.500 0.000 0.500
Rh 0.500 0.500 0.000

Space-group type: Pm-3m, No. 221
E: -36.15 eV for the cell shown
Magnetization: 0.00 μB per cell

7.
ThHRh2 | PBE | relaxed

a b c (Å): 7.312 7.312 7.312
angles (deg): 25.53 25.53 25.53
Atoms (fractional coordinates):
Th 0.000 0.000 0.000
H 0.500 0.500 0.500
Rh 0.116 0.116 0.116
Rh 0.884 0.884 0.884

Space-group type: R-3m, No. 166
E: -24.91 eV for the cell shown
Magnetization: 0.00 μB per cell

8.
ThH2Rh | PBE | relaxed

a b c (Å): 3.836 4.238 6.611
angles (deg): 90.00 106.79 90.00
Atoms (fractional coordinates):
Th 0.143 0.250 0.287
Th 0.857 0.750 0.713
H 0.059 0.750 0.117
H 0.244 0.750 0.489
H 0.756 0.250 0.511
H 0.941 0.250 0.883
Rh 0.427 0.250 0.853
Rh 0.573 0.750 0.147

Space-group type: P2_1/m, No. 11
Offset from the most stable computed form: 0 meV/atom
Magnetization: 0.00 μB per cell